Record 1
The following is a DFT calculation (PBE-GGA) of crystalline Y3Mg2UN6 at its relaxed geometry.

## Properties
The calculation puts the final energy at -100.17 eV for the cell shown. The density of states at the Fermi level comes out at 4.376 states/eV/cell. The uncorrected formation energy comes out at -1.36 eV per atom. The calculation puts the theoretical density at 6.450 g/cm3.

abc: 5.849 5.849 5.867
angles: 99.39 99.39 120.10
Atoms (fractional coordinates):
Y  0.500  0.500  0.500
N  0.764  0.764  0.235
N  0.236  0.236  0.765
Y  0.171  0.829  0.500
Mg  0.335  0.665  0.000
Mg  0.665  0.335  0.000
U  0.000  0.000  0.000
N  0.601  0.919  0.757
N  0.399  0.081  0.243
N  0.081  0.399  0.243
N  0.919  0.601  0.757
Y  0.829  0.171  0.500

***

Record 2
The following is a DFT calculation (PBE-GGA) of crystalline Ho3MgCl at its relaxed geometry.

## Properties
The calculation puts the final energy at -19.05 eV for the cell shown. The density of states at the Fermi level comes out at 4.157 states/eV/cell. The uncorrected formation energy comes out at -0.37 eV per atom. The calculation puts the theoretical density at 6.714 g/cm3.

abc: 5.157 5.157 5.157
angles: 90.00 90.00 90.00
Atoms (fractional coordinates):
Cl  0.000  0.000  0.000
Mg  0.500  0.500  0.500
Ho  0.500  0.000  0.000
Ho  0.000  0.000  0.500
Ho  0.000  0.500  0.000